(1)
First-principles (PBE-GGA) data for crystalline RbInSn2Se6 at its relaxed geometry, as listed in the Alexandria database.

a b c (Å): 9.888 9.888 7.787
angles (deg): 109.63 109.63 82.96
Sites, in units of the cell vectors:
Rb 0.201 0.799 0.750
Rb 0.799 0.201 0.250
In 0.336 0.664 0.250
In 0.664 0.336 0.750
Sn 0.128 0.302 0.841
Sn 0.302 0.128 0.341
Sn 0.698 0.872 0.659
Sn 0.872 0.698 0.159
Se 0.087 0.147 0.029
Se 0.111 0.574 0.290
Se 0.147 0.087 0.529
Se 0.338 0.465 0.920
Se 0.426 0.889 0.210
Se 0.465 0.338 0.420
Se 0.535 0.662 0.580
Se 0.574 0.111 0.790
Se 0.662 0.535 0.080
Se 0.853 0.913 0.471
Se 0.889 0.426 0.710
Se 0.913 0.853 0.971

ΔE_f (raw)	-0.536	eV/atom

***

(2)
First-principles (PBE-GGA) data for crystalline Tb2Pr2Tm7 at its relaxed geometry, as listed in the Alexandria database.

a b c (Å): 8.024 8.024 6.051
angles (deg): 106.53 106.53 91.58
Sites, in units of the cell vectors:
Tb 0.210 0.790 0.000
Tb 0.790 0.210 0.000
Pr 0.402 0.402 0.690
Pr 0.598 0.598 0.310
Tm 0.000 0.000 0.500
Tm 0.065 0.589 0.321
Tm 0.230 0.230 0.075
Tm 0.411 0.935 0.679
Tm 0.589 0.065 0.321
Tm 0.770 0.770 0.925
Tm 0.935 0.411 0.679

energy of formation from the pure elements	3.5	kcal/mol of atoms

***

(3)
First-principles (PBE-GGA) data for crystalline LiZr2Be at its relaxed geometry, as listed in the Alexandria database.

a b c (Å): 4.543 4.543 3.302
angles (deg): 90.00 90.00 90.00
Sites, in units of the cell vectors:
Li 0.000 0.000 0.000
Zr 0.000 0.500 0.500
Zr 0.500 0.000 0.500
Be 0.500 0.500 0.000

energy of formation from the pure elements	2.7	kcal/mol of atoms

***

(4)
First-principles (PBE-GGA) data for crystalline RuSe at its relaxed geometry, as listed in the Alexandria database.

a b c (Å): 11.236 3.102 6.769
angles (deg): 90.00 114.85 90.00
Sites, in units of the cell vectors:
Ru 0.000 0.000 0.000
Ru 0.059 0.500 0.675
Ru 0.247 0.000 0.967
Ru 0.500 0.500 0.000
Ru 0.559 0.000 0.675
Ru 0.747 0.500 0.967
Se 0.198 0.500 0.198
Se 0.349 0.000 0.708
Se 0.498 0.500 0.377
Se 0.698 0.000 0.198
Se 0.849 0.500 0.708
Se 0.998 0.000 0.377

ΔE_f (raw)	0.104	eV/atom

***

(5)
First-principles (PBE-GGA) data for crystalline Pr5TlAu2 at its relaxed geometry, as listed in the Alexandria database.

a b c (Å): 9.027 9.027 9.027
angles (deg): 124.13 124.13 82.99
Sites, in units of the cell vectors:
Pr 0.000 0.000 0.000
Pr 0.011 0.511 0.811
Pr 0.200 0.011 0.500
Pr 0.300 0.800 0.811
Pr 0.489 0.300 0.500
Pr 0.500 0.500 0.000
Pr 0.511 0.700 0.500
Pr 0.700 0.200 0.189
Pr 0.800 0.989 0.500
Pr 0.989 0.489 0.189
Tl 0.250 0.250 0.000
Tl 0.750 0.750 0.000
Au 0.135 0.365 0.500
Au 0.365 0.865 0.231
Au 0.635 0.135 0.769
Au 0.865 0.635 0.500

energy of formation from the pure elements	-11.2	kcal/mol of atoms

***

(6)
First-principles (PBE-GGA) data for crystalline LiNpTcGe at its relaxed geometry, as listed in the Alexandria database.

a b c (Å): 6.453 6.453 6.453
angles (deg): 90.00 90.00 90.00
Sites, in units of the cell vectors:
Li 0.000 0.000 0.000
Li 0.000 0.500 0.500
Li 0.500 0.000 0.500
Li 0.500 0.500 0.000
Np 0.250 0.250 0.750
Np 0.250 0.750 0.250
Np 0.750 0.250 0.250
Np 0.750 0.750 0.750
Tc 0.000 0.000 0.500
Tc 0.000 0.500 0.000
Tc 0.500 0.000 0.000
Tc 0.500 0.500 0.500
Ge 0.250 0.250 0.250
Ge 0.250 0.750 0.750
Ge 0.750 0.250 0.750
Ge 0.750 0.750 0.250

energy of formation from the pure elements	2.1	kcal/mol of atoms

***

(7)
First-principles (PBE-GGA) data for crystalline CeYGePt at its relaxed geometry, as listed in the Alexandria database.

a b c (Å): 7.179 7.179 7.179
angles (deg): 90.00 90.00 90.00
Sites, in units of the cell vectors:
Ce 0.000 0.000 0.000
Ce 0.000 0.500 0.500
Ce 0.500 0.000 0.500
Ce 0.500 0.500 0.000
Y 0.000 0.000 0.500
Y 0.000 0.500 0.000
Y 0.500 0.000 0.000
Y 0.500 0.500 0.500
Ge 0.250 0.250 0.250
Ge 0.250 0.750 0.750
Ge 0.750 0.250 0.750
Ge 0.750 0.750 0.250
Pt 0.250 0.250 0.750
Pt 0.250 0.750 0.250
Pt 0.750 0.250 0.250
Pt 0.750 0.750 0.750

energy of formation from the pure elements	-19.1	kcal/mol of atoms
energy above the most stable polymorph in this dataset	0.0	kJ/mol of atoms

***

(8)
First-principles (PBE-GGA) data for crystalline Co2RhI at its relaxed geometry, as listed in the Alexandria database.

a b c (Å): 6.196 6.196 6.196
angles (deg): 90.00 90.00 90.00
Sites, in units of the cell vectors:
Co 0.250 0.250 0.250
Co 0.250 0.250 0.750
Co 0.250 0.750 0.250
Co 0.250 0.750 0.750
Co 0.750 0.250 0.250
Co 0.750 0.250 0.750
Co 0.750 0.750 0.250
Co 0.750 0.750 0.750
Rh 0.000 0.000 0.000
Rh 0.000 0.500 0.500
Rh 0.500 0.000 0.500
Rh 0.500 0.500 0.000
I 0.000 0.000 0.500
I 0.000 0.500 0.000
I 0.500 0.000 0.000
I 0.500 0.500 0.500

ΔE_f (raw)	0.751	eV/atom
energy above the most stable polymorph in this dataset	0.0	kJ/mol of atoms

***

| no. | total magnetization (μB per formula unit) | electronic total energy (eV per atom) |
| --- | --- | --- |
| 1 | 0.00 | -3.80 |
| 2 | 0.00 | -4.40 |
| 3 | 0.00 | -5.57 |
| 4 | 0.00 | -6.28 |
| 5 | 0.00 | -4.59 |
| 6 | 3.42 | -7.37 |
| 7 | 0.91 | -6.59 |
| 8 | 3.33 | -5.03 |